A plane-wave DFT calculation with PBE was carried out for an optimized crystal structure of Nd3CdAg3.

a b c (Å): 4.8653 3.6005 10.8388
angles (deg): 99.56 102.97 90.00
With the nearest neighbours (Å) after each atom.
Sites, in units of the cell vectors:
Nd: 0.3033 0.8033 0.6065  5 Ag 3.23-3.36, 2 Cd 3.25, 2 Nd 3.60
Nd: 0.6917 0.1917 0.3835  7 Ag 3.15-3.46
Nd: 0.0051 0.0051 0.0101  8 Ag 3.29-3.55, 4 Cd 3.38, 2 Nd 3.60
Cd: 0.4330 0.4330 0.8661  3 Ag 2.79-2.89
Ag: 0.1418 0.6418 0.2835  2 Ag 2.88, 4 Nd 3.20
Ag: 0.8579 0.3579 0.7157  2 Cd 2.89, 4 Nd 3.23
Ag: 0.5673 0.5673 0.1345  1 Cd 2.79, 2 Ag 2.88

Output
formation energy from the elements: -0.25 eV/atom